VASP calculation (PBE) on a relaxed structure of K3CeZn2O6.

Cell lengths 6.388, 6.388, 6.260 Å; angles 95.02, 95.02, 128.53 degrees
Site moments in Bohr magnetons follow the coordinates.
Element x y z (fractional)
Zn 0.284 0.716 0.000  0.02
Zn 0.716 0.284 0.000  0.02
O 0.419 0.096 0.167  0.07
O 0.581 0.904 0.833  0.07
O 0.157 0.157 0.740  0.22
O 0.843 0.843 0.260  0.22
O 0.096 0.419 0.167  0.07
O 0.904 0.581 0.833  0.07
K 0.817 0.183 0.500  0.00
K 0.183 0.817 0.500  0.00
K 0.500 0.500 0.500  0.01
Ce 0.000 0.000 0.000  0.22

Output
- Energy relative to the elements, uncorrected: -1758 meV per atom
- Symmetry: C2/m (12)